No. 1
# Hf3ZrC

A relaxed structure of Hf3ZrC (PBE-GGA, Alexandria via LeMat-Bulk).

Lattice parameters (Å, degrees): 4.575 4.575 4.575 90.00 90.00 90.00
Space group Pm-3m (No. 221)
Symmetry-distinct sites (fractional):
Hf 0.000 0.000 0.500 (multiplicity 3)
Zr 0.500 0.500 0.500 (multiplicity 1)
C 0.000 0.000 0.000 (multiplicity 1)

***

No. 2
# CsNa

A relaxed structure of CsNa (PBE-GGA, Alexandria via LeMat-Bulk).

Lattice parameters (Å, degrees): 5.609 17.615 8.978 90.00 90.00 90.00
Space group Imm2 (No. 44)
Symmetry-distinct sites (fractional):
Cs 0.000 0.000 0.000 (multiplicity 2)
Cs 0.000 0.295 0.251 (multiplicity 4)
Na 0.000 0.000 0.502 (multiplicity 2)
Na 0.000 0.397 0.814 (multiplicity 4)

***

No. 3
# AcLaMgGa

A relaxed structure of AcLaMgGa (PBE-GGA, Alexandria via LeMat-Bulk).

Lattice parameters (Å, degrees): 7.858 7.858 7.858 90.00 90.00 90.00
Space group F-43m (No. 216)
Symmetry-distinct sites (fractional):
Ac 0.000 0.000 0.000 (multiplicity 4)
La 0.000 0.000 0.500 (multiplicity 4)
Mg 0.250 0.250 0.750 (multiplicity 4)
Ga 0.250 0.250 0.250 (multiplicity 4)

***

No. 4
# BeCd2W

A relaxed structure of BeCd2W (PBE-GGA, Alexandria via LeMat-Bulk).

Lattice parameters (Å, degrees): 3.784 3.784 9.291 90.00 90.00 90.00
Space group I4/mmm (No. 139)
Symmetry-distinct sites (fractional):
Be 0.000 0.000 0.000 (multiplicity 2)
Cd 0.000 0.500 0.250 (multiplicity 4)
W 0.000 0.000 0.500 (multiplicity 2)

***

No. 5
# BTeRhBr2

A relaxed structure of BTeRhBr2 (PBE-GGA, Alexandria via LeMat-Bulk).

Lattice parameters (Å, degrees): 5.103 5.103 5.172 90.00 90.00 90.00
Space group P4/mmm (No. 123)
Symmetry-distinct sites (fractional):
B 0.000 0.000 0.000 (multiplicity 1)
Te 0.500 0.500 0.000 (multiplicity 1)
Rh 0.500 0.500 0.500 (multiplicity 1)
Br 0.000 0.500 0.500 (multiplicity 2)

Output
ΔE_f (raw) in eV per formula unit: 5.0

***

No. 6
# Sr2CeTl

A relaxed structure of Sr2CeTl (PBE-GGA, Alexandria via LeMat-Bulk).

Lattice parameters (Å, degrees): 3.8367 3.8367 37.7712 90.00 90.00 120.00
Space group R-3m (No. 166, hexagonal axes)
Symmetry-distinct sites (fractional):
Sr 0.0000 0.0000 0.0969 (multiplicity 6)
Ce 0.0000 0.0000 0.0000 (multiplicity 3)
Tl 0.0000 0.0000 0.5000 (multiplicity 3)

***

No. 7
# Ac3Pr5Bi8

A relaxed structure of Ac3Pr5Bi8 (PBE-GGA, Alexandria via LeMat-Bulk).

Lattice parameters (Å, degrees): 9.4657 9.4657 23.2063 90.00 90.00 120.00
Space group R-3m (No. 166, hexagonal axes)
Symmetry-distinct sites (fractional):
Ac 0.0000 0.5000 0.0000 (multiplicity 9)
Pr 0.0000 0.0000 0.0000 (multiplicity 3)
Pr 0.0000 0.0000 0.5000 (multiplicity 3)
Pr 0.0000 0.5000 0.5000 (multiplicity 9)
Bi 0.0000 0.0000 0.2458 (multiplicity 6)
Bi 0.0055 0.5027 0.7527 (multiplicity 18)

***

No. 8
# CsBBr2

A relaxed structure of CsBBr2 (PBE-GGA, Alexandria via LeMat-Bulk).

Lattice parameters (Å, degrees): 4.4653 4.4653 23.1247 90.00 90.00 120.00
Space group R-3m (No. 166, hexagonal axes)
Symmetry-distinct sites (fractional):
Cs 0.0000 0.0000 0.0000 (multiplicity 3)
B 0.0000 0.0000 0.5000 (multiplicity 3)
Br 0.0000 0.0000 0.2275 (multiplicity 6)

Output
ΔE_f (raw) in eV per formula unit: 0.3

***

No. 9
# Nb3TcMo3

A relaxed structure of Nb3TcMo3 (PBE-GGA, Alexandria via LeMat-Bulk).

Lattice parameters (Å, degrees): 6.245 8.861 8.910 90.00 90.00 90.00
Space group Cmmm (No. 65)
Symmetry-distinct sites (fractional):
Nb 0.000 0.000 0.204 (multiplicity 4)
Nb 0.000 0.240 0.500 (multiplicity 4)
Nb 0.000 0.310 0.000 (multiplicity 4)
Tc 0.247 0.000 0.500 (multiplicity 4)
Mo 0.000 0.500 0.261 (multiplicity 4)
Mo 0.250 0.250 0.245 (multiplicity 8)

***

No. 10
# Ba2Cu

A relaxed structure of Ba2Cu (PBE-GGA, Alexandria via LeMat-Bulk).

Lattice parameters (Å, degrees): 15.013 4.279 7.976 90.00 90.06 90.00
Space group Cm (No. 8)
Symmetry-distinct sites (fractional):
Ba 0.000 0.000 0.000 (multiplicity 2)
Ba 0.031 0.000 0.500 (multiplicity 2)
Ba 0.241 0.500 0.830 (multiplicity 2)
Ba 0.289 0.000 0.330 (multiplicity 2)
Cu 0.129 0.500 0.220 (multiplicity 2)
Cu 0.402 0.000 0.720 (multiplicity 2)

***

No. 11
# Nd12Dy2In

A relaxed structure of Nd12Dy2In (PBE-GGA, Alexandria via LeMat-Bulk).

Lattice parameters (Å, degrees): 7.321 11.613 24.644 90.00 90.00 90.00
Space group Cmme (No. 67)
Symmetry-distinct sites (fractional):
Nd 0.000 0.002 0.071 (multiplicity 8)
Nd 0.000 0.027 0.561 (multiplicity 8)
Nd 0.228 0.250 0.413 (multiplicity 8)
Nd 0.247 0.250 0.878 (multiplicity 8)
Nd 0.250 0.000 0.196 (multiplicity 8)
Nd 0.250 0.000 0.323 (multiplicity 8)
Dy 0.000 0.250 0.261 (multiplicity 4)
Dy 0.000 0.250 0.734 (multiplicity 4)
In 0.000 0.250 0.000 (multiplicity 4)

***

No. 12
# Li3AcAl2

A relaxed structure of Li3AcAl2 (PBE-GGA, Alexandria via LeMat-Bulk).

Lattice parameters (Å, degrees): 10.483 8.950 5.557 90.00 90.00 90.00
Space group Cmcm (No. 63)
Symmetry-distinct sites (fractional):
Li 0.000 0.046 0.250 (multiplicity 4)
Li 0.184 0.267 0.250 (multiplicity 8)
Ac 0.000 0.329 0.750 (multiplicity 4)
Al 0.222 0.000 0.000 (multiplicity 8)

***

no.,M_tot (μB per atom),E (eV per cell)
1,0.0000,-48.9
2,0.0000,-12.5
3,0.0000,-59.2
4,0.0000,-31.0
5,0.0000,-15.5
6,0.4761,-32.9
7,0.0000,-248.1
8,0.0000,-31.9
9,0.0000,-288.6
10,0.0000,-31.3
11,0.0000,-270.9
12,0.0000,-72.4